Entry from Alexandria: a geometry-optimized PuPa2MoN6 structure (GGA-PBE).

Output
ρ = 10.378 g/cm³
Uncorrected energy = -104.979 eV/cell
Formation energy without anion corrections = -1.087 eV per atom

Structure (POSCAR):
```
PuPa2MoN6
1.0
5.778 0.000 0.000
2.889 5.004 0.000
2.889 1.668 4.904
N Pu Pa Mo
6 1 2 1
Cartesian
6.595 1.941 3.711 N
6.577 4.741 3.711 N
7.988 3.356 1.208 N
4.655 5.239 1.208 N
4.161 3.326 3.711 N
4.690 1.412 1.208 N
8.666 5.004 2.895 Pu
5.778 3.336 2.079 Pa
2.889 1.668 4.518 Pa
2.889 1.668 0.345 Mo
```